Tb6PrNd5 | GGA-PBE | relaxed

Cell: 6.292 6.292 11.923 Å, 95.02 95.02 119.97°
Fractional coordinates of all 12 atoms:
Tb  0.083  0.417  0.750
Tb  0.250  0.250  0.250
Tb  0.417  0.083  0.750
Tb  0.583  0.917  0.250
Tb  0.750  0.750  0.750
Tb  0.917  0.583  0.250
Pr  0.000  0.000  0.500
Nd  0.167  0.833  0.000
Nd  0.333  0.667  0.500
Nd  0.500  0.500  0.000
Nd  0.667  0.333  0.500
Nd  0.833  0.167  0.000

Results
For the relative energy among the computed polymorphs, the calculation gives 0.0000 eV/atom. The calculated formation energy comes out at 0.011 eV/atom. As for the volume: 402.55 Å³/cell. The space group is C2/m (12). For the spin magnetization, the calculation gives 0.0 μB per cell.

Tb4Pr2Nd | GGA-PBE | relaxed

Cell: 9.478 9.478 9.478 Å, 145.53 145.53 49.54°
Fractional coordinates of all 7 atoms:
Tb  0.000  0.500  0.500
Tb  0.176  0.176  0.000
Tb  0.500  0.000  0.500
Tb  0.824  0.824  0.000
Pr  0.378  0.378  0.000
Pr  0.622  0.622  0.000
Nd  0.000  0.000  0.000

Results
For the relative energy among the computed polymorphs, the calculation gives 0.4270 eV/atom. The calculated formation energy comes out at 0.628 eV/atom. As for the volume: 271.42 Å³/cell. The space group is I4/mmm (139). For the spin magnetization, the calculation gives 0.0 μB per cell.

Tb3PrNd2 | GGA-PBE | relaxed

Cell: 8.048 8.048 8.048 Å, 155.55 101.35 83.85°
Fractional coordinates of all 6 atoms:
Tb  0.000  0.000  0.000
Tb  0.334  0.001  0.333
Tb  0.668  0.001  0.667
Pr  0.250  0.750  0.500
Nd  0.585  0.751  0.834
Nd  0.917  0.751  0.166

Results
For the relative energy among the computed polymorphs, the calculation gives 0.3275 eV/atom. The calculated formation energy comes out at 0.390 eV/atom. As for the volume: 208.21 Å³/cell. The space group is Imm2 (44). For the spin magnetization, the calculation gives 0.0 μB per cell.

Tb2Pr2Nd | GGA-PBE | relaxed

Cell: 8.686 8.686 6.947 Å, 103.73 103.73 43.07°
Fractional coordinates of all 10 atoms:
Tb  0.017  0.179  0.450
Tb  0.179  0.017  0.950
Tb  0.821  0.983  0.050
Tb  0.983  0.821  0.550
Pr  0.217  0.383  0.850
Pr  0.383  0.217  0.350
Pr  0.617  0.783  0.650
Pr  0.783  0.617  0.150
Nd  0.417  0.583  0.250
Nd  0.583  0.417  0.750

Results
For the relative energy among the computed polymorphs, the calculation gives 0.0000 eV/atom. The calculated formation energy comes out at 0.028 eV/atom. As for the volume: 346.10 Å³/cell. The space group is C2/c (15). For the spin magnetization, the calculation gives 0.0 μB per cell.

Tb5PrNd5 | GGA-PBE | relaxed

Cell: 7.003 7.047 8.540 Å, 75.55 76.86 72.15°
Fractional coordinates of all 11 atoms:
Tb  0.000  0.000  0.000
Tb  0.178  0.723  0.349
Tb  0.292  0.356  0.691
Tb  0.708  0.644  0.309
Tb  0.822  0.277  0.651
Pr  0.500  0.000  0.000
Nd  0.138  0.256  0.272
Nd  0.345  0.864  0.643
Nd  0.500  0.500  0.000
Nd  0.655  0.136  0.357
Nd  0.862  0.744  0.728

Results
For the relative energy among the computed polymorphs, the calculation gives 0.0000 eV/atom. The calculated formation energy comes out at 0.142 eV/atom. As for the volume: 383.23 Å³/cell. The space group is P-1 (2). For the spin magnetization, the calculation gives 0.0 μB per cell.

Tb10PrNd4 | GGA-PBE | relaxed

Cell: 8.886 8.886 8.886 Å, 112.46 112.46 103.65°
Fractional coordinates of all 15 atoms:
Tb  0.046  0.950  0.658
Tb  0.050  0.708  0.096
Tb  0.250  0.750  0.500
Tb  0.292  0.388  0.342
Tb  0.388  0.046  0.096
Tb  0.612  0.954  0.904
Tb  0.708  0.612  0.658
Tb  0.750  0.250  0.500
Tb  0.950  0.292  0.904
Tb  0.954  0.050  0.342
Pr  0.000  0.000  0.000
Nd  0.212  0.553  0.765
Nd  0.447  0.212  0.659
Nd  0.553  0.788  0.341
Nd  0.788  0.447  0.235

Results
The calculated formation energy comes out at 0.430 eV/atom. As for the volume: 536.03 Å³/cell. The space group is I4/m (87). For the spin magnetization, the calculation gives 0.0 μB per cell.

Tb4Pr4Nd3 | GGA-PBE | relaxed

Cell: 10.898 6.743 6.743 Å, 51.02 90.00 90.00°
Fractional coordinates of all 11 atoms:
Tb  0.000  0.000  0.000
Tb  0.196  0.496  0.496
Tb  0.500  0.945  0.945
Tb  0.804  0.496  0.496
Pr  0.000  0.273  0.273
Pr  0.289  0.143  0.143
Pr  0.500  0.350  0.350
Pr  0.711  0.143  0.143
Nd  0.209  0.801  0.801
Nd  0.500  0.644  0.644
Nd  0.791  0.801  0.801

Results
For the relative energy among the computed polymorphs, the calculation gives 0.0209 eV/atom. The calculated formation energy comes out at 0.148 eV/atom. As for the volume: 385.23 Å³/cell. The space group is Amm2 (38). For the spin magnetization, the calculation gives 0.0 μB per cell.

Tb3Pr3Nd | GGA-PBE | relaxed

Cell: 9.007 9.007 9.007 Å, 58.63 58.63 58.63°
Fractional coordinates of all 14 atoms:
Tb  0.063  0.826  0.286
Tb  0.174  0.714  0.937
Tb  0.286  0.063  0.826
Tb  0.714  0.937  0.174
Tb  0.826  0.286  0.063
Tb  0.937  0.174  0.714
Pr  0.071  0.565  0.719
Pr  0.281  0.929  0.435
Pr  0.435  0.281  0.929
Pr  0.565  0.719  0.071
Pr  0.719  0.071  0.565
Pr  0.929  0.435  0.281
Nd  0.345  0.345  0.345
Nd  0.655  0.655  0.655

Results
For the relative energy among the computed polymorphs, the calculation gives 0.1650 eV/atom. The calculated formation energy comes out at 0.194 eV/atom. As for the volume: 500.44 Å³/cell. The space group is R-3 (148). For the spin magnetization, the calculation gives 0.0 μB per cell.

Tb6Pr3Nd2 | GGA-PBE | relaxed

Cell: 6.248 6.248 11.778 Å, 95.12 95.12 120.15°
Fractional coordinates of all 11 atoms:
Tb  0.083  0.416  0.248
Tb  0.250  0.250  0.751
Tb  0.416  0.083  0.248
Tb  0.584  0.917  0.752
Tb  0.750  0.750  0.249
Tb  0.917  0.584  0.752
Pr  0.164  0.836  0.500
Pr  0.500  0.500  0.500
Pr  0.836  0.164  0.500
Nd  0.334  0.666  0.000
Nd  0.666  0.334  0.000

Results
For the relative energy among the computed polymorphs, the calculation gives 0.0000 eV/atom. The calculated formation energy comes out at 0.186 eV/atom. As for the volume: 391.12 Å³/cell. The space group is C2/m (12). For the spin magnetization, the calculation gives 0.0 μB per cell.

TbPr7Nd4 | GGA-PBE | relaxed

Cell: 6.441 7.417 9.228 Å, 89.92 76.48 89.90°
Fractional coordinates of all 12 atoms:
Tb  0.000  0.000  0.000
Pr  0.000  0.500  0.000
Pr  0.219  0.000  0.332
Pr  0.280  0.751  0.669
Pr  0.500  0.249  0.000
Pr  0.500  0.751  0.000
Pr  0.720  0.249  0.331
Pr  0.781  0.000  0.668
Nd  0.221  0.500  0.332
Nd  0.279  0.249  0.670
Nd  0.721  0.751  0.330
Nd  0.779  0.500  0.668

Results
For the relative energy among the computed polymorphs, the calculation gives 0.0000 eV/atom. The calculated formation energy comes out at 0.015 eV/atom. As for the volume: 428.63 Å³/cell. The space group is P-1 (2). For the spin magnetization, the calculation gives 0.0 μB per cell.

Tb5Pr2Nd5 | GGA-PBE | relaxed

Cell: 8.139 8.139 11.519 Å, 115.19 115.19 36.77°
Fractional coordinates of all 12 atoms:
Tb  0.000  0.000  0.000
Tb  0.083  0.083  0.749
Tb  0.167  0.167  0.501
Tb  0.833  0.833  0.499
Tb  0.917  0.917  0.251
Pr  0.417  0.417  0.749
Pr  0.583  0.583  0.251
Nd  0.251  0.251  0.252
Nd  0.334  0.334  0.001
Nd  0.500  0.500  0.500
Nd  0.666  0.666  0.999
Nd  0.749  0.749  0.748

Results
The calculated formation energy comes out at 0.015 eV/atom. As for the volume: 408.23 Å³/cell. The space group is C2/m (12). For the spin magnetization, the calculation gives 0.0 μB per cell.

Tb7Pr4Nd | GGA-PBE | relaxed

Cell: 6.797 6.797 12.935 Å, 114.91 114.91 52.33°
Fractional coordinates of all 12 atoms:
Tb  0.000  0.000  0.000
Tb  0.132  0.132  0.497
Tb  0.289  0.289  0.077
Tb  0.432  0.432  0.682
Tb  0.568  0.568  0.318
Tb  0.711  0.711  0.923
Tb  0.868  0.868  0.503
Pr  0.136  0.136  0.777
Pr  0.272  0.272  0.330
Pr  0.728  0.728  0.670
Pr  0.864  0.864  0.223
Nd  0.500  0.500  0.000

Results
For the relative energy among the computed polymorphs, the calculation gives 0.1601 eV/atom. The calculated formation energy comes out at 0.245 eV/atom. As for the volume: 417.70 Å³/cell. The space group is C2/m (12). For the spin magnetization, the calculation gives 0.0 μB per cell.

TbPr7Nd5 | GGA-PBE | relaxed

Cell: 8.973 8.973 8.973 Å, 134.75 101.27 95.78°
Fractional coordinates of all 13 atoms:
Tb  0.000  0.000  0.000
Pr  0.224  0.555  0.669
Pr  0.297  0.797  0.500
Pr  0.306  0.306  0.000
Pr  0.377  0.059  0.318
Pr  0.614  0.614  0.000
Pr  0.741  0.059  0.682
Pr  0.886  0.555  0.331
Nd  0.042  0.044  0.452
Nd  0.042  0.591  0.999
Nd  0.592  0.044  0.001
Nd  0.592  0.591  0.548
Nd  0.779  0.279  0.500

Results
The calculated formation energy comes out at 0.216 eV/atom. As for the volume: 472.85 Å³/cell. The space group is Imm2 (44). For the spin magnetization, the calculation gives 0.0 μB per cell.

Tb3PrNd3 | GGA-PBE | relaxed

Cell: 6.445 6.445 6.445 Å, 103.24 103.24 103.24°
Fractional coordinates of all 7 atoms:
Tb  0.065  0.468  0.468
Tb  0.468  0.065  0.468
Tb  0.468  0.468  0.065
Pr  0.610  0.610  0.610
Nd  0.024  0.024  0.659
Nd  0.024  0.659  0.024
Nd  0.659  0.024  0.024

Results
For the relative energy among the computed polymorphs, the calculation gives 0.0222 eV/atom. The calculated formation energy comes out at 0.219 eV/atom. As for the volume: 242.19 Å³/cell. The space group is R3m (160). For the spin magnetization, the calculation gives 0.0 μB per cell.

Tb8Pr2Nd3 | GGA-PBE | relaxed

Cell: 11.049 11.049 5.660 Å, 90.02 90.02 40.96°
Fractional coordinates of all 13 atoms:
Tb  0.103  0.683  0.000
Tb  0.165  0.165  0.500
Tb  0.317  0.897  0.000
Tb  0.369  0.369  0.500
Tb  0.631  0.631  0.500
Tb  0.683  0.103  0.000
Tb  0.835  0.835  0.500
Tb  0.897  0.317  0.000
Pr  0.258  0.258  0.001
Pr  0.742  0.742  0.999
Nd  0.207  0.793  0.500
Nd  0.500  0.500  0.000
Nd  0.793  0.207  0.500

Results
For the relative energy among the computed polymorphs, the calculation gives 0.2240 eV/atom. The calculated formation energy comes out at 0.241 eV/atom. As for the volume: 452.96 Å³/cell. The space group is C2/m (12). For the spin magnetization, the calculation gives 0.0 μB per cell.

Tb2Pr3Nd3 | GGA-PBE | relaxed

Cell: 5.933 14.786 6.401 Å, 90.00 90.00 90.00°
Fractional coordinates of all 16 atoms:
Tb  0.250  0.126  0.164
Tb  0.250  0.374  0.164
Tb  0.750  0.626  0.836
Tb  0.750  0.874  0.836
Pr  0.250  0.000  0.667
Pr  0.250  0.500  0.667
Pr  0.250  0.750  0.670
Pr  0.750  0.000  0.333
Pr  0.750  0.250  0.330
Pr  0.750  0.500  0.333
Nd  0.250  0.250  0.662
Nd  0.250  0.625  0.167
Nd  0.250  0.875  0.167
Nd  0.750  0.125  0.833
Nd  0.750  0.375  0.833
Nd  0.750  0.750  0.338

Results
For the relative energy among the computed polymorphs, the calculation gives 0.0162 eV/atom. The calculated formation energy comes out at 0.032 eV/atom. As for the volume: 561.49 Å³/cell. The space group is Pmmn (59). For the spin magnetization, the calculation gives 0.0 μB per cell.

Tb4Pr5Nd2 | GGA-PBE | relaxed

Cell: 12.888 12.888 12.888 Å, 164.07 137.65 45.52°
Fractional coordinates of all 11 atoms:
Tb  0.096  0.096  0.000
Tb  0.188  0.500  0.688
Tb  0.812  0.500  0.312
Tb  0.904  0.904  0.000
Pr  0.156  0.355  0.801
Pr  0.446  0.645  0.801
Pr  0.500  0.000  0.500
Pr  0.554  0.355  0.199
Pr  0.844  0.645  0.199
Nd  0.231  0.231  0.000
Nd  0.769  0.769  0.000

Results
For the relative energy among the computed polymorphs, the calculation gives 0.1063 eV/atom. The calculated formation energy comes out at 0.176 eV/atom. As for the volume: 395.16 Å³/cell. The space group is Immm (71). For the spin magnetization, the calculation gives 0.0 μB per cell.

Tb7PrNd3 | GGA-PBE | relaxed

Cell: 7.133 7.133 8.760 Å, 90.00 90.00 120.00°
Fractional coordinates of all 11 atoms:
Tb  0.000  0.000  0.000
Tb  0.166  0.331  0.323
Tb  0.166  0.834  0.323
Tb  0.500  0.001  0.996
Tb  0.500  0.500  0.996
Tb  0.669  0.834  0.323
Tb  0.999  0.500  0.996
Pr  0.667  0.333  0.321
Nd  0.332  0.166  0.662
Nd  0.834  0.166  0.662
Nd  0.834  0.668  0.662

Results
For the relative energy among the computed polymorphs, the calculation gives 0.0402 eV/atom. The calculated formation energy comes out at 0.177 eV/atom. As for the volume: 385.95 Å³/cell. The space group is P3m1 (156). For the spin magnetization, the calculation gives 0.0 μB per cell.

Tb5Pr12Nd | GGA-PBE | relaxed

Cell: 11.010 11.010 5.199 Å, 90.00 90.00 90.10°
Fractional coordinates of all 18 atoms:
Tb  0.000  0.000  0.000
Tb  0.167  0.833  0.500
Tb  0.333  0.667  0.000
Tb  0.667  0.333  0.000
Tb  0.833  0.167  0.500
Pr  0.002  0.669  0.000
Pr  0.164  0.164  0.500
Pr  0.168  0.502  0.500
Pr  0.331  0.998  0.000
Pr  0.334  0.334  0.000
Pr  0.498  0.832  0.500
Pr  0.502  0.168  0.500
Pr  0.666  0.666  0.000
Pr  0.669  0.002  0.000
Pr  0.832  0.498  0.500
Pr  0.836  0.836  0.500
Pr  0.998  0.331  0.000
Nd  0.500  0.500  0.500

Results
The calculated formation energy comes out at 0.018 eV/atom. As for the volume: 630.21 Å³/cell. The space group is Cmmm (65). For the spin magnetization, the calculation gives 0.0 μB per cell.

Tb12Pr7Nd | GGA-PBE | relaxed

Cell: 8.864 8.864 8.864 Å, 86.28 86.28 86.28°
Fractional coordinates of all 20 atoms:
Tb  0.005  0.367  0.882
Tb  0.118  0.995  0.633
Tb  0.224  0.755  0.353
Tb  0.245  0.647  0.776
Tb  0.353  0.224  0.755
Tb  0.367  0.882  0.005
Tb  0.633  0.118  0.995
Tb  0.647  0.776  0.245
Tb  0.755  0.353  0.224
Tb  0.776  0.245  0.647
Tb  0.882  0.005  0.367
Tb  0.995  0.633  0.118
Pr  0.000  0.000  0.000
Pr  0.102  0.344  0.422
Pr  0.344  0.422  0.102
Pr  0.422  0.102  0.344
Pr  0.578  0.898  0.656
Pr  0.656  0.578  0.898
Pr  0.898  0.656  0.578
Nd  0.500  0.500  0.500

Results
For the relative energy among the computed polymorphs, the calculation gives 0.0000 eV/atom. The calculated formation energy comes out at 0.225 eV/atom. As for the volume: 692.12 Å³/cell. The space group is R-3 (148). For the spin magnetization, the calculation gives 0.0 μB per cell.